Sm2Fe3Si5 | PBE-GGA | optimized geometry

abc: 10.4239 10.4239 5.5703
angles: 90.00 90.00 90.00
Space group P4/mnc (No. 128)
Asymmetric unit:
Sm  0.0691  0.2353  0.0000 [8 per cell]
Fe  0.0000  0.5000  0.2500 [4 per cell]
Fe  0.1232  0.8541  0.5000 [8 per cell]
Si  0.0000  0.0000  0.2790 [4 per cell]
Si  0.0196  0.3210  0.5000 [8 per cell]
Si  0.1772  0.6772  0.2500 [8 per cell]

Values from the calculation:
magnetic moment: 0.001 μB/atom
E_tot: -6.8101 eV/atom

=====

TbYCu2Ge2 | PBE-GGA | optimized geometry

abc: 4.2450 4.2450 7.4016
angles: 90.00 90.00 120.00
Space group P3m1 (No. 156)
Asymmetric unit:
Tb  0.0000  0.0000  0.0000 [1 per cell]
Y  0.0000  0.0000  0.5000 [1 per cell]
Cu  0.3333  0.6667  0.2309 [1 per cell]
Cu  0.6667  0.3333  0.7309 [1 per cell]
Ge  0.3333  0.6667  0.7654 [1 per cell]
Ge  0.6667  0.3333  0.2654 [1 per cell]

Values from the calculation:
magnetic moment: 0.000 μB/atom
E_tot: -5.3220 eV/atom

=====

ThCo4B4 | PBE-GGA | optimized geometry

abc: 5.0821 5.0821 7.1126
angles: 90.00 90.00 90.00
Space group P4_2/nmc (No. 137, origin choice 2)
Asymmetric unit:
Th  0.2500  0.7500  0.2500 [2 per cell]
Co  0.0024  0.7500  0.6160 [8 per cell]
B  0.0775  0.2500  0.0884 [8 per cell]

Values from the calculation:
magnetic moment: 0.002 μB/atom
E_tot: -7.4288 eV/atom

=====

RbAgTeIrSe2 | PBE-GGA | optimized geometry

abc: 3.8442 16.4119 10.4656
angles: 90.00 90.00 90.00
Space group Cmcm (No. 63)
Asymmetric unit:
Rb  0.0000  0.2427  0.2500 [4 per cell]
Ag  0.0000  0.4346  0.7500 [4 per cell]
Te  0.0000  0.0620  0.7500 [4 per cell]
Ir  0.0000  0.0000  0.0000 [4 per cell]
Se  0.0000  0.3970  0.5153 [8 per cell]

Values from the calculation:
magnetic moment: 0.001 μB/atom
E_tot: -4.1024 eV/atom

=====

GdSe | PBE-GGA | optimized geometry

abc: 6.4401 6.4401 6.4401
angles: 90.00 90.00 90.00
Space group F-43m (No. 216)
Asymmetric unit:
Gd  0.0000  0.0000  0.0000 [4 per cell]
Se  0.2500  0.2500  0.7500 [4 per cell]

Values from the calculation:
magnetic moment: 0.003 μB/atom
E_tot: -5.4218 eV/atom

=====

Nd2DySn3Pd2Pt | PBE-GGA | optimized geometry

abc: 4.0962 13.1877 7.6321
angles: 90.00 90.00 90.00
Space group Amm2 (No. 38)
Asymmetric unit:
Nd  0.0000  0.2042  0.0000 [4 per cell]
Dy  0.0000  0.0000  0.3897 [2 per cell]
Sn  0.5000  0.0000  0.0497 [2 per cell]
Sn  0.5000  0.1266  0.6663 [4 per cell]
Pd  0.5000  0.1624  0.2969 [4 per cell]
Pt  0.0000  0.0000  0.7901 [2 per cell]

Values from the calculation:
magnetic moment: 0.000 μB/atom
E_tot: -5.6905 eV/atom